(1)
{
  "formula": "ZrSiAg3",
  "functional": "PBE",
  "state": "relaxed",
  "e_above_lowest_polymorph_ev_per_atom": 1.038,
  "raw_formation_energy_ev_per_atom": 1.527,
  "lattice": [[5.2414, 0.0000, 0.0000], [0.0000, 5.2414, 0.0000], [0.0000, 0.0000, 5.2414]],
  "species": ["Zr", "Si", "Ag", "Ag", "Ag"],
  "frac_coords": [[0.0000, 0.0000, 0.0000], [0.5000, 0.5000, 0.5000], [0.0000, 0.0000, 0.5000], [0.0000, 0.5000, 0.0000], [0.5000, 0.0000, 0.0000]]
}

(2)
{
  "formula": "Rb2LiF",
  "functional": "PBE",
  "state": "relaxed",
  "e_above_lowest_polymorph_ev_per_atom": 0.382,
  "raw_formation_energy_ev_per_atom": -0.758,
  "lattice": [[0.0000, 4.2585, 4.2585], [4.2585, 0.0000, 4.2585], [4.2585, 4.2585, 0.0000]],
  "species": ["Rb", "Rb", "Li", "F"],
  "frac_coords": [[0.2500, 0.2500, 0.2500], [0.7500, 0.7500, 0.7500], [0.0000, 0.0000, 0.0000], [0.5000, 0.5000, 0.5000]]
}

(3)
{
  "formula": "Li5GaSn",
  "functional": "PBE",
  "state": "relaxed",
  "ef_ev_per_atom": -0.20,
  "lattice": [[4.8983, -4.8799, 0.0000], [4.8983, 4.8799, 0.0000], [-1.7131, 0.0000, 5.7002]],
  "species": ["Li", "Li", "Li", "Li", "Li", "Li", "Li", "Li", "Li", "Li", "Ga", "Ga", "Sn", "Sn"],
  "frac_coords": [[0.1399, 0.5669, 0.2043], [0.1914, 0.2873, 0.5961], [0.2391, 0.7609, 0.7500], [0.2873, 0.1914, 0.0961], [0.4331, 0.8601, 0.2957], [0.5669, 0.1399, 0.7043], [0.7127, 0.8086, 0.9039], [0.7609, 0.2391, 0.2500], [0.8086, 0.7127, 0.4039], [0.8601, 0.4331, 0.7957], [0.0377, 0.9623, 0.2500], [0.9623, 0.0377, 0.7500], [0.5000, 0.5000, 0.0000], [0.5000, 0.5000, 0.5000]]
}

(4)
{
  "formula": "Li2Y2USe6",
  "functional": "PBE",
  "state": "relaxed",
  "raw_formation_energy_ev_per_atom": -1.526,
  "lattice": [[3.5543, -6.1442, 0.0000], [3.5543, 6.1442, 0.0000], [-2.3543, 0.0000, 6.4887]],
  "species": ["Li", "Li", "Y", "Y", "U", "Se", "Se", "Se", "Se", "Se", "Se"],
  "frac_coords": [[0.1690, 0.8310, 0.0000], [0.8310, 0.1690, 0.0000], [0.3340, 0.6660, 0.5000], [0.6660, 0.3340, 0.5000], [0.0000, 0.0000, 0.5000], [0.0780, 0.4118, 0.7489], [0.2428, 0.2428, 0.2521], [0.4118, 0.0780, 0.7489], [0.5882, 0.9220, 0.2511], [0.7572, 0.7572, 0.7479], [0.9220, 0.5882, 0.2511]]
}

Number 1: E_tot -2.978 eV per atom. Number 2: E_tot -2.188 eV per atom. Number 3: E_tot -2.569 eV per atom. Number 4: E_tot -5.976 eV per atom.